No. 1
Material: ZnReAu2
Method: DFT, PBE
State: optimized geometry

The formation energy from the elements is 0.36 eV/atom. As for the total moment: 0.00 μB/cell. Its crystal system is orthorhombic. The total energy comes out at -18.84 eV/cell. The calculation puts the calculated volume at 16.312 Å³/atom.

The structure belongs to space group Pmm2 (No. 25); the cell edges are 2.774, 3.942 and 5.968 Å and the angles 90.00°, 90.00° and 90.00°. The asymmetric unit holds Zn at (0.000, 0.000, 0.000), Re at (0.500, 0.500, 0.774), Au at (0.000, 0.000, 0.527) and Au at (0.500, 0.500, 0.248).

No. 2
Material: ZnReAu2
Method: DFT, PBE
State: optimized geometry

The formation energy from the elements is 0.39 eV/atom. As for the total moment: 0.01 μB/cell. Its crystal system is monoclinic. The total energy comes out at -37.47 eV/cell. The calculation puts the calculated volume at 16.339 Å³/atom.

The structure belongs to space group C2/m (No. 12); the cell edges are 9.434, 2.738 and 5.126 Å and the angles 90.00°, 99.22° and 90.00°. The asymmetric unit holds Zn at (0.000, 0.000, 0.000), Re at (0.000, 0.500, 0.500) and Au at (0.250, 0.000, 0.749).

No. 3
Material: ZnReAu2
Method: DFT, PBE
State: optimized geometry

The formation energy from the elements is 0.29 eV/atom. As for the total moment: 0.00 μB/cell. Its crystal system is orthorhombic. The total energy comes out at -38.27 eV/cell. The calculation puts the calculated volume at 16.245 Å³/atom.

The structure belongs to space group Cmmm (No. 65); the cell edges are 5.659, 8.465 and 2.713 Å and the angles 90.00°, 90.00° and 90.00°. The asymmetric unit holds Zn at (0.000, 0.000, 0.000), Re at (0.000, 0.500, 0.000) and Au at (0.250, 0.250, 0.500).

No. 4
Material: ZnReAu4
Method: DFT, PBE
State: optimized geometry

The formation energy from the elements is 0.74 eV/atom. As for the total moment: 12.88 μB/cell. Its crystal system is cubic. The total energy comes out at -89.50 eV/cell. The calculation puts the calculated volume at 18.862 Å³/atom.

The structure belongs to space group F-43m (No. 216); the cell edges are 7.678, 7.678 and 7.678 Å and the angles 90.00°, 90.00° and 90.00°. The asymmetric unit holds Zn at (0.000, 0.000, 0.000), Re at (0.250, 0.250, 0.250) and Au at (0.125, 0.125, 0.625).

No. 5
Material: Zn2ReAu
Method: DFT, PBE
State: optimized geometry

The formation energy from the elements is 0.27 eV/atom. As for the total moment: 0.00 μB/cell. As for the energy above the most stable polymorph in this dataset: 18.1 kJ per mole of atoms. Its crystal system is orthorhombic. The total energy comes out at -34.35 eV/cell. The calculation puts the calculated volume at 15.355 Å³/atom.

The structure belongs to space group Imm2 (No. 44); the cell edges are 2.790, 4.613 and 9.544 Å and the angles 90.00°, 90.00° and 90.00°. The asymmetric unit holds Zn at (0.000, 0.000, 0.000), Zn at (0.000, 0.500, 0.254), Re at (0.000, 0.000, 0.510) and Au at (0.000, 0.500, 0.748).

No. 6
Material: ZnReAu2
Method: DFT, PBE
State: optimized geometry

The formation energy from the elements is 0.24 eV/atom. As for the total moment: 0.22 μB/cell. Its crystal system is trigonal. The total energy comes out at -57.95 eV/cell. The calculation puts the calculated volume at 16.202 Å³/atom.

The structure belongs to space group R-3m (No. 166, hexagonal axes); the cell edges are 2.8552, 2.8552 and 27.5386 Å and the angles 90.00°, 90.00° and 120.00°. The asymmetric unit holds Zn at (0.0000, 0.0000, 0.0000), Re at (0.0000, 0.0000, 0.5000) and Au at (0.0000, 0.0000, 0.2514).

No. 7
Material: ZnReAu2
Method: DFT, PBE
State: optimized geometry

The formation energy from the elements is 0.32 eV/atom. As for the total moment: 0.00 μB/cell. Its crystal system is monoclinic. The total energy comes out at -38.00 eV/cell. The calculation puts the calculated volume at 16.325 Å³/atom.

The structure belongs to space group Cm (No. 8); the cell edges are 9.582, 2.722 and 5.113 Å and the angles 90.00°, 101.72° and 90.00°. The asymmetric unit holds Zn at (0.000, 0.000, 0.000), Re at (0.234, 0.500, 0.249), Au at (0.256, 0.000, 0.763) and Au at (0.489, 0.000, 0.475).

No. 8
Material: Zn2ReAu
Method: DFT, PBE
State: optimized geometry

The formation energy from the elements is 0.22 eV/atom. As for the total moment: 0.00 μB/cell. As for the energy above the most stable polymorph in this dataset: 13.1 kJ per mole of atoms. Its crystal system is monoclinic. The total energy comes out at -17.38 eV/cell. The calculation puts the calculated volume at 15.597 Å³/atom.

The structure belongs to space group P2/m (No. 10); the cell edges are 2.703, 4.306 and 5.362 Å and the angles 90.00°, 91.41° and 90.00°. The asymmetric unit holds Zn at (0.053, 0.000, 0.224), Re at (0.500, 0.500, 0.000) and Au at (0.000, 0.500, 0.500).

Question: calculated volume of number 2 (ZnReAu2)?
Answer: 16.339 Å³/atom

Question: What is the formula in the fourth record?
Answer: ZnReAu4